1.
The following is a DFT calculation (PBE) of crystalline Fe2IrRu at its relaxed geometry.

space-group type	Cmm2
E_tot	-8.55	eV/atom
DOS at the Fermi energy	1.18	states/eV/atom
M_tot	12.334	μB/cell
energy relative to the elements	0.216	eV/atom

Lattice parameters (Å, degrees): 2.7799 4.5024 8.6303 90.00 90.00 90.00
Sites, in units of the cell vectors:
Fe: 0.0000 0.0000 0.0000
Fe: 0.0000 0.5000 0.2310
Fe: 0.5000 0.0000 0.2310
Fe: 0.5000 0.5000 0.0000
Ir: 0.0000 0.5000 0.7495
Ir: 0.5000 0.0000 0.7495
Ru: 0.0000 0.0000 0.4768
Ru: 0.5000 0.5000 0.4768


2.
The following is a DFT calculation (PBE) of crystalline Fe2Ir2Ru3 at its relaxed geometry.

space-group type	P2_1/c
E_tot	-8.66	eV/atom
DOS at the Fermi energy	1.27	states/eV/atom
M_tot	5.875	μB/cell
energy relative to the elements	0.262	eV/atom

Lattice parameters (Å, degrees): 4.7498 9.4647 4.8000 90.00 115.93 90.00
Sites, in units of the cell vectors:
Fe: 0.1306 0.2043 0.4023
Fe: 0.1306 0.2957 0.9023
Fe: 0.8694 0.7043 0.0977
Fe: 0.8694 0.7957 0.5977
Ir: 0.3706 0.7066 0.5850
Ir: 0.3706 0.7934 0.0850
Ir: 0.6294 0.2066 0.9150
Ir: 0.6294 0.2934 0.4150
Ru: 0.1297 0.0326 0.8090
Ru: 0.1297 0.4674 0.3090
Ru: 0.5000 0.0000 0.5000
Ru: 0.5000 0.5000 0.0000
Ru: 0.8703 0.5326 0.6910
Ru: 0.8703 0.9674 0.1910


3.
The following is a DFT calculation (PBE) of crystalline FeIr8Ru2 at its relaxed geometry.

space-group type	Immm
E_tot	-8.74	eV/atom
DOS at the Fermi energy	1.04	states/eV/atom
M_tot	0.856	μB/cell
energy relative to the elements	0.165	eV/atom

Lattice parameters (Å, degrees): 7.1039 7.1039 7.1039 148.86 115.30 73.55
Sites, in units of the cell vectors:
Fe: 0.0000 0.0000 0.0000
Ir: 0.0880 0.8380 0.2500
Ir: 0.1743 0.6743 0.5000
Ir: 0.2423 0.5000 0.7423
Ir: 0.4120 0.1620 0.2500
Ir: 0.5880 0.8380 0.7500
Ir: 0.7577 0.5000 0.2577
Ir: 0.8257 0.3257 0.5000
Ir: 0.9120 0.1620 0.7500
Ru: 0.3360 0.3360 0.0000
Ru: 0.6640 0.6640 0.0000


4.
The following is a DFT calculation (PBE) of crystalline FeSnIrRu at its relaxed geometry.

space-group type	F-43m
E_tot	-7.68	eV/atom
DOS at the Fermi energy	0.68	states/eV/atom
M_tot	17.306	μB/cell
energy relative to the elements	-0.030	eV/atom

Lattice parameters (Å, degrees): 6.2595 6.2595 6.2595 90.00 90.00 90.00
Sites, in units of the cell vectors:
Fe: 0.0000 0.0000 0.0000
Fe: 0.0000 0.5000 0.5000
Fe: 0.5000 0.0000 0.5000
Fe: 0.5000 0.5000 0.0000
Sn: 0.0000 0.0000 0.5000
Sn: 0.0000 0.5000 0.0000
Sn: 0.5000 0.0000 0.0000
Sn: 0.5000 0.5000 0.5000
Ir: 0.2500 0.2500 0.7500
Ir: 0.2500 0.7500 0.2500
Ir: 0.7500 0.2500 0.2500
Ir: 0.7500 0.7500 0.7500
Ru: 0.2500 0.2500 0.2500
Ru: 0.2500 0.7500 0.7500
Ru: 0.7500 0.2500 0.7500
Ru: 0.7500 0.7500 0.2500


5.
The following is a DFT calculation (PBE) of crystalline V5Fe2Ir2Ru at its relaxed geometry.

space-group type	P4/mbm
E_tot	-8.98	eV/atom
DOS at the Fermi energy	1.01	states/eV/atom
M_tot	0.000	μB/cell
energy relative to the elements	-0.032	eV/atom

Lattice parameters (Å, degrees): 9.5357 9.5357 2.9513 90.00 90.00 90.00
Sites, in units of the cell vectors:
V: 0.0000 0.5000 0.0000
V: 0.0738 0.1991 0.0000
V: 0.1991 0.9262 0.0000
V: 0.3009 0.4262 0.0000
V: 0.4262 0.6991 0.0000
V: 0.5000 0.0000 0.0000
V: 0.5738 0.3009 0.0000
V: 0.6991 0.5738 0.0000
V: 0.8009 0.0738 0.0000
V: 0.9262 0.8009 0.0000
Fe: 0.1293 0.3707 0.5000
Fe: 0.3707 0.8707 0.5000
Fe: 0.6293 0.1293 0.5000
Fe: 0.8707 0.6293 0.5000
Ir: 0.1703 0.6703 0.5000
Ir: 0.3297 0.1703 0.5000
Ir: 0.6703 0.8297 0.5000
Ir: 0.8297 0.3297 0.5000
Ru: 0.0000 0.0000 0.5000
Ru: 0.5000 0.5000 0.5000


6.
The following is a DFT calculation (PBE) of crystalline VFeIrRu at its relaxed geometry.

space-group type	Pmmm
E_tot	-9.18	eV/atom
DOS at the Fermi energy	1.02	states/eV/atom
M_tot	1.446	μB/cell
energy relative to the elements	-0.249	eV/atom

Lattice parameters (Å, degrees): 3.6328 3.7972 3.8356 90.00 90.00 90.00
Sites, in units of the cell vectors:
V: 0.0000 0.0000 0.0000
Fe: 0.0000 0.5000 0.5000
Ir: 0.5000 0.0000 0.5000
Ru: 0.5000 0.5000 0.0000


7.
The following is a DFT calculation (PBE) of crystalline FeIrRuW at its relaxed geometry.

space-group type	Pmmm
E_tot	-10.01	eV/atom
DOS at the Fermi energy	0.72	states/eV/atom
M_tot	0.925	μB/cell
energy relative to the elements	-0.119	eV/atom

Lattice parameters (Å, degrees): 3.7680 3.8013 3.8665 90.00 90.00 90.00
Sites, in units of the cell vectors:
Fe: 0.0000 0.0000 0.0000
Ir: 0.5000 0.5000 0.0000
Ru: 0.5000 0.0000 0.5000
W: 0.0000 0.5000 0.5000


8.
The following is a DFT calculation (PBE) of crystalline FeIr3S at its relaxed geometry.

space-group type	Pm-3m
E_tot	-6.90	eV/atom
DOS at the Fermi energy	2.14	states/eV/atom
M_tot	3.844	μB/cell
distance to the lowest polymorph of the same formula	0.000	eV/atom
formation energy without anion corrections	934	meV per atom

Lattice parameters (Å, degrees): 4.3765 4.3765 4.3765 90.00 90.00 90.00
Sites, in units of the cell vectors:
Fe: 0.0000 0.0000 0.0000
Ir: 0.0000 0.5000 0.5000
Ir: 0.5000 0.0000 0.5000
Ir: 0.5000 0.5000 0.0000
S: 0.5000 0.5000 0.5000


9.
The following is a DFT calculation (PBE) of crystalline FeIrS3 at its relaxed geometry.

space-group type	Pm-3m
E_tot	-5.08	eV/atom
DOS at the Fermi energy	1.56	states/eV/atom
M_tot	4.259	μB/cell
distance to the lowest polymorph of the same formula	0.000	eV/atom
formation energy without anion corrections	865	meV per atom

Lattice parameters (Å, degrees): 4.6333 4.6333 4.6333 90.00 90.00 90.00
Sites, in units of the cell vectors:
Fe: 0.0000 0.0000 0.0000
Ir: 0.5000 0.5000 0.5000
S: 0.0000 0.5000 0.5000
S: 0.5000 0.0000 0.5000
S: 0.5000 0.5000 0.0000


10.
The following is a DFT calculation (PBE) of crystalline FeIr3S at its relaxed geometry.

space-group type	Pm-3m
E_tot	-6.05	eV/atom
DOS at the Fermi energy	1.91	states/eV/atom
M_tot	0.000	μB/cell
distance to the lowest polymorph of the same formula	0.847	eV/atom
formation energy without anion corrections	1782	meV per atom

Lattice parameters (Å, degrees): 4.4644 4.4644 4.4644 90.00 90.00 90.00
Sites, in units of the cell vectors:
Fe: 0.0000 0.0000 0.0000
Ir: 0.0000 0.0000 0.5000
Ir: 0.0000 0.5000 0.0000
Ir: 0.5000 0.0000 0.0000
S: 0.5000 0.5000 0.5000


11.
The following is a DFT calculation (PBE) of crystalline FeIr4S2 at its relaxed geometry.

space-group type	I4/mmm
E_tot	-6.28	eV/atom
DOS at the Fermi energy	1.13	states/eV/atom
M_tot	0.000	μB/cell
formation energy without anion corrections	1176	meV per atom

Lattice parameters (Å, degrees): 4.4040 4.4040 12.3244 90.00 90.00 90.00
Sites, in units of the cell vectors:
Fe: 0.0000 0.0000 0.0000
Fe: 0.5000 0.5000 0.5000
Ir: 0.0000 0.0000 0.2177
Ir: 0.0000 0.0000 0.7823
Ir: 0.0000 0.5000 0.0000
Ir: 0.0000 0.5000 0.5000
Ir: 0.5000 0.0000 0.0000
Ir: 0.5000 0.0000 0.5000
Ir: 0.5000 0.5000 0.2823
Ir: 0.5000 0.5000 0.7177
S: 0.0000 0.0000 0.3902
S: 0.0000 0.0000 0.6098
S: 0.5000 0.5000 0.1098
S: 0.5000 0.5000 0.8902


12.
The following is a DFT calculation (PBE) of crystalline FeIr2SeS at its relaxed geometry.

space-group type	P4/mmm
E_tot	-5.63	eV/atom
DOS at the Fermi energy	1.58	states/eV/atom
M_tot	4.032	μB/cell
formation energy without anion corrections	1133	meV per atom

Lattice parameters (Å, degrees): 4.3120 4.3120 5.1828 90.00 90.00 90.00
Sites, in units of the cell vectors:
Fe: 0.0000 0.0000 0.0000
Ir: 0.0000 0.5000 0.5000
Ir: 0.5000 0.0000 0.5000
Se: 0.5000 0.5000 0.0000
S: 0.5000 0.5000 0.5000


13.
The following is a DFT calculation (PBE) of crystalline Fe2SnIrS at its relaxed geometry.

space-group type	P4/mmm
E_tot	-5.92	eV/atom
DOS at the Fermi energy	1.24	states/eV/atom
M_tot	7.564	μB/cell
formation energy without anion corrections	862	meV per atom

Lattice parameters (Å, degrees): 4.7621 4.7621 5.0318 90.00 90.00 90.00
Sites, in units of the cell vectors:
Fe: 0.0000 0.5000 0.0000
Fe: 0.5000 0.0000 0.0000
Sn: 0.0000 0.0000 0.5000
Ir: 0.0000 0.0000 0.0000
S: 0.5000 0.5000 0.5000


14.
The following is a DFT calculation (PBE) of crystalline TiFeIrS2 at its relaxed geometry.

space-group type	P4/mmm
E_tot	-6.12	eV/atom
DOS at the Fermi energy	1.45	states/eV/atom
M_tot	3.874	μB/cell
formation energy without anion corrections	579	meV per atom

Lattice parameters (Å, degrees): 4.5817 4.5817 4.7020 90.00 90.00 90.00
Sites, in units of the cell vectors:
Ti: 0.0000 0.0000 0.0000
Fe: 0.5000 0.5000 0.5000
Ir: 0.0000 0.0000 0.5000
S: 0.0000 0.5000 0.0000
S: 0.5000 0.0000 0.0000


15.
The following is a DFT calculation (PBE) of crystalline ZnFeIr2S at its relaxed geometry.

space-group type	P4/mmm
E_tot	-5.27	eV/atom
DOS at the Fermi energy	0.85	states/eV/atom
M_tot	3.344	μB/cell
formation energy without anion corrections	1046	meV per atom

Lattice parameters (Å, degrees): 4.6456 4.6456 4.0357 90.00 90.00 90.00
Sites, in units of the cell vectors:
Zn: 0.0000 0.0000 0.0000
Fe: 0.5000 0.5000 0.5000
Ir: 0.0000 0.5000 0.5000
Ir: 0.5000 0.0000 0.5000
S: 0.5000 0.5000 0.0000


16.
The following is a DFT calculation (PBE) of crystalline FeSbIr4 at its relaxed geometry.

space-group type	F-43m
E_tot	-7.53	eV/atom
DOS at the Fermi energy	1.04	states/eV/atom
M_tot	4.541	μB/cell
formation energy without anion corrections	473	meV per atom

Lattice parameters (Å, degrees): 5.2450 5.2450 5.2450 60.00 60.00 60.00
Sites, in units of the cell vectors:
Fe: 0.0000 0.0000 0.0000
Sb: 0.2500 0.2500 0.2500
Ir: 0.1238 0.6254 0.6254
Ir: 0.6254 0.1238 0.6254
Ir: 0.6254 0.6254 0.1238
Ir: 0.6254 0.6254 0.6254


17.
The following is a DFT calculation (PBE) of crystalline FeSb4Ir at its relaxed geometry.

space-group type	F-43m
E_tot	-4.41	eV/atom
DOS at the Fermi energy	1.28	states/eV/atom
M_tot	3.001	μB/cell
formation energy without anion corrections	1222	meV per atom

Lattice parameters (Å, degrees): 5.9642 5.9642 5.9642 60.00 60.00 60.00
Sites, in units of the cell vectors:
Fe: 0.0000 0.0000 0.0000
Sb: 0.3746 0.3746 0.3746
Sb: 0.3746 0.3746 0.8761
Sb: 0.3746 0.8761 0.3746
Sb: 0.8761 0.3746 0.3746
Ir: 0.7500 0.7500 0.7500


18.
The following is a DFT calculation (PBE) of crystalline Fe2SbIr at its relaxed geometry.

space-group type	P4mm
E_tot	-7.30	eV/atom
DOS at the Fermi energy	0.54	states/eV/atom
M_tot	5.539	μB/cell
formation energy without anion corrections	174	meV per atom

Lattice parameters (Å, degrees): 3.1358 3.1358 6.0850 90.00 90.00 90.00
Sites, in units of the cell vectors:
Fe: 0.0000 0.0000 0.0000
Fe: 0.5000 0.5000 0.2080
Sb: 0.5000 0.5000 0.7429
Ir: 0.0000 0.0000 0.4603


19.
The following is a DFT calculation (PBE) of crystalline FeSb6Ir at its relaxed geometry.

space-group type	C2/m
E_tot	-5.43	eV/atom
DOS at the Fermi energy	0.76	states/eV/atom
M_tot	1.982	μB/cell
formation energy without anion corrections	-175	meV per atom

Lattice parameters (Å, degrees): 8.0411 8.0411 9.2860 125.18 125.18 70.68
Sites, in units of the cell vectors:
Fe: 0.0000 0.5000 0.0000
Fe: 0.5000 0.0000 0.0000
Sb: 0.0069 0.3204 0.1575
Sb: 0.1575 0.8302 0.3371
Sb: 0.1698 0.8425 0.6629
Sb: 0.3204 0.0069 0.1575
Sb: 0.3403 0.3403 0.0074
Sb: 0.3467 0.3467 0.6883
Sb: 0.6533 0.6533 0.3117
Sb: 0.6597 0.6597 0.9926
Sb: 0.6796 0.9931 0.8425
Sb: 0.8302 0.1575 0.3371
Sb: 0.8425 0.1698 0.6629
Sb: 0.9931 0.6796 0.8425
Ir: 0.0000 0.5000 0.5000
Ir: 0.5000 0.0000 0.5000


20.
The following is a DFT calculation (PBE) of crystalline FeSb3Ir at its relaxed geometry.

space-group type	Pm-3m
E_tot	-5.19	eV/atom
DOS at the Fermi energy	0.83	states/eV/atom
M_tot	0.678	μB/cell
distance to the lowest polymorph of the same formula	0.000	eV/atom
formation energy without anion corrections	752	meV per atom

Lattice parameters (Å, degrees): 4.7952 4.7952 4.7952 90.00 90.00 90.00
Sites, in units of the cell vectors:
Fe: 0.0000 0.0000 0.0000
Sb: 0.0000 0.0000 0.5000
Sb: 0.0000 0.5000 0.0000
Sb: 0.5000 0.0000 0.0000
Ir: 0.5000 0.5000 0.5000


21.
The following is a DFT calculation (PBE) of crystalline FeSbIr at its relaxed geometry.

space-group type	I4mm
E_tot	-6.85	eV/atom
DOS at the Fermi energy	1.11	states/eV/atom
M_tot	5.837	μB/cell
formation energy without anion corrections	294	meV per atom

Lattice parameters (Å, degrees): 3.0659 3.0659 10.5001 90.00 90.00 90.00
Sites, in units of the cell vectors:
Fe: 0.0000 0.0000 0.0000
Fe: 0.5000 0.5000 0.5000
Sb: 0.0000 0.0000 0.3224
Sb: 0.5000 0.5000 0.8224
Ir: 0.0000 0.0000 0.6451
Ir: 0.5000 0.5000 0.1451


22.
The following is a DFT calculation (PBE) of crystalline Fe2Sb8Ir at its relaxed geometry.

space-group type	C2/m
E_tot	-5.20	eV/atom
DOS at the Fermi energy	0.55	states/eV/atom
M_tot	0.000	μB/cell
formation energy without anion corrections	146	meV per atom

Lattice parameters (Å, degrees): 8.1785 8.1785 4.8665 90.04 90.04 60.07
Sites, in units of the cell vectors:
Fe: 0.1665 0.1665 0.2453
Fe: 0.8335 0.8335 0.7547
Sb: 0.1661 0.1661 0.7358
Sb: 0.1847 0.6575 0.8004
Sb: 0.3421 0.3421 0.1989
Sb: 0.3425 0.8153 0.1996
Sb: 0.6575 0.1847 0.8004
Sb: 0.6579 0.6579 0.8011
Sb: 0.8153 0.3425 0.1996
Sb: 0.8339 0.8339 0.2642
Ir: 0.5000 0.5000 0.5000


23.
The following is a DFT calculation (PBE) of crystalline FeSbIr at its relaxed geometry.

space-group type	I4mm
E_tot	-6.94	eV/atom
DOS at the Fermi energy	0.73	states/eV/atom
M_tot	6.346	μB/cell
formation energy without anion corrections	210	meV per atom

Lattice parameters (Å, degrees): 3.5232 3.5232 7.9879 90.00 90.00 90.00
Sites, in units of the cell vectors:
Fe: 0.0000 0.0000 0.0000
Fe: 0.5000 0.5000 0.5000
Sb: 0.0000 0.0000 0.3221
Sb: 0.5000 0.5000 0.8221
Ir: 0.0000 0.0000 0.6566
Ir: 0.5000 0.5000 0.1566


24.
The following is a DFT calculation (PBE) of crystalline FeSbIr at its relaxed geometry.

space-group type	P3m1
E_tot	-6.88	eV/atom
DOS at the Fermi energy	0.92	states/eV/atom
M_tot	2.997	μB/cell
formation energy without anion corrections	267	meV per atom

Lattice parameters (Å, degrees): 4.4540 4.4540 2.9334 90.00 90.00 120.00
Sites, in units of the cell vectors:
Fe: 0.0000 0.0000 0.0000
Sb: 0.3333 0.6667 0.4973
Ir: 0.6667 0.3333 0.5011


25.
The following is a DFT calculation (PBE) of crystalline Fe2SbIr at its relaxed geometry.

space-group type	Cm
E_tot	-7.31	eV/atom
DOS at the Fermi energy	0.89	states/eV/atom
M_tot	10.663	μB/cell
formation energy without anion corrections	166	meV per atom

Lattice parameters (Å, degrees): 8.5429 3.0255 4.7816 90.00 102.18 90.00
Sites, in units of the cell vectors:
Fe: 0.0000 0.0000 0.0000
Fe: 0.2315 0.5000 0.1993
Fe: 0.5000 0.5000 0.0000
Fe: 0.7315 0.0000 0.1993
Sb: 0.4938 0.0000 0.4753
Sb: 0.9938 0.5000 0.4753
Ir: 0.2521 0.0000 0.7442
Ir: 0.7521 0.5000 0.7442


26.
The following is a DFT calculation (PBE) of crystalline Fe2SbIr at its relaxed geometry.

space-group type	I-4m2
E_tot	-7.39	eV/atom
DOS at the Fermi energy	0.94	states/eV/atom
M_tot	10.159	μB/cell
formation energy without anion corrections	92	meV per atom

Lattice parameters (Å, degrees): 3.9187 3.9187 7.6342 90.00 90.00 90.00
Sites, in units of the cell vectors:
Fe: 0.0000 0.0000 0.0000
Fe: 0.0000 0.5000 0.2500
Fe: 0.5000 0.0000 0.7500
Fe: 0.5000 0.5000 0.5000
Sb: 0.0000 0.5000 0.7500
Sb: 0.5000 0.0000 0.2500
Ir: 0.0000 0.0000 0.5000
Ir: 0.5000 0.5000 0.0000


27.
The following is a DFT calculation (PBE) of crystalline Fe2SbIr at its relaxed geometry.

space-group type	Pmmm
E_tot	-7.37	eV/atom
DOS at the Fermi energy	0.89	states/eV/atom
M_tot	4.940	μB/cell
formation energy without anion corrections	110	meV per atom

Lattice parameters (Å, degrees): 3.8142 3.8284 4.0519 90.00 90.00 90.00
Sites, in units of the cell vectors:
Fe: 0.0000 0.0000 0.0000
Fe: 0.5000 0.5000 0.0000
Sb: 0.0000 0.5000 0.5000
Ir: 0.5000 0.0000 0.5000